InMoAu2F | PBE+U | relaxed

Output
The density of states at the Fermi level comes out at 0.803 states/eV per cell. Its total energy is -3.865 eV/atom.

Cell: 5.497 5.497 4.157 Å, 90.00 90.00 90.00°
Space group P4/mmm (No. 123)
Unique sites:
In 0.000 0.000 0.000
Mo 0.500 0.500 0.500
Au 0.000 0.500 0.500
F 0.500 0.500 0.000